1.
# NaCu2PtN

An optimized crystal structure of NaCu2PtN (PBE, Alexandria via LeMat-Bulk).

Values from the calculation:
ΔE_f (raw)   212.2 meV per atom
Magnetic moment   0.00 μB per atom

Unit cell a=3.9734 b=3.9734 c=4.2749 alpha=90.00 beta=90.00 gamma=90.00
Space group P4/mmm (No. 123)
Asymmetric unit:
Na  0.0000  0.0000  0.0000 (multiplicity 1)
Cu  0.0000  0.5000  0.5000 (multiplicity 2)
Pt  0.5000  0.5000  0.0000 (multiplicity 1)
N  0.5000  0.5000  0.5000 (multiplicity 1)

---

2.
# NaCu2RuN

An optimized crystal structure of NaCu2RuN (PBE, Alexandria via LeMat-Bulk).

Values from the calculation:
ΔE_f (raw)   2051.8 meV per atom
Magnetic moment   0.68 μB per atom

Unit cell a=4.3943 b=4.3943 c=3.9675 alpha=90.00 beta=90.00 gamma=90.00
Space group P4/mmm (No. 123)
Asymmetric unit:
Na  0.0000  0.0000  0.0000 (multiplicity 1)
Cu  0.0000  0.5000  0.0000 (multiplicity 2)
Ru  0.5000  0.5000  0.5000 (multiplicity 1)
N  0.0000  0.0000  0.5000 (multiplicity 1)